1.
VASP calculation (PBE-GGA) on Re2TcIr after structural relaxation.

Values from the calculation:
total moment	0.00	μB per cell
N(E_F)	0.949	states/eV/atom
crystal system	monoclinic

Cell and atoms, written as extended XYZ:
```
4
Lattice="4.780 0.007 -0.003 3.993 2.626 -0.003 0.787 0.236 4.704" Properties=species:S:1:pos:R:3 pbc="T T T"
Ir 2.399 0.720 1.162
Re 8.772 2.633 0.003
Re 7.165 2.151 3.509
Tc 4.777 1.434 2.369
```

---

2.
VASP calculation (PBE-GGA) on Re2TcIr after structural relaxation.

Values from the calculation:
total moment	0.00	μB per cell
N(E_F)	0.953	states/eV/atom
crystal system	orthorhombic

Cell and atoms, written as extended XYZ:
```
4
Lattice="4.300 0.000 0.000 0.000 2.739 0.035 0.000 1.304 5.103" Properties=species:S:1:pos:R:3 pbc="T T T"
Ir 2.150 3.201 4.011
Tc 0.000 1.851 2.430
Re 0.000 1.819 5.059
Re 2.150 0.495 1.309
```

---

3.
VASP calculation (PBE-GGA) on Re2TcIr after structural relaxation.

Values from the calculation:
total moment	0.00	μB per cell
N(E_F)	1.225	states/eV/atom
crystal system	tetragonal

Cell and atoms, written as extended XYZ:
```
4
Lattice="-2.280 1.966 1.291 -2.306 -2.224 -0.684 0.798 -2.371 5.020" Properties=species:S:1:pos:R:3 pbc="T T T"
Re -2.093 -0.724 1.563
Re 0.789 -2.342 4.959
Tc 0.407 -1.208 2.557
Ir -1.692 -1.912 4.079
```

---

4.
VASP calculation (PBE-GGA) on Re2TcIr after structural relaxation.

Values from the calculation:
total moment	0.00	μB per cell
N(E_F)	0.966	states/eV/atom
crystal system	monoclinic

Cell and atoms, written as extended XYZ:
```
4
Lattice="4.782 0.009 -0.001 3.993 2.631 -0.001 0.781 0.235 4.696" Properties=species:S:1:pos:R:3 pbc="T T T"
Ir 2.389 0.719 1.174
Re 9.550 2.874 4.686
Tc 7.166 2.156 3.521
Re 4.782 1.439 2.356
```

---

Which of them is most stable, and which least? Most stable: 4; least stable: 3.

---

1.
VASP calculation (PBE-GGA) on Re2TcIr after structural relaxation.

Values from the calculation:
total moment	0.00	μB per cell
N(E_F)	1.018	states/eV/atom
crystal system	tetragonal

Cell and atoms, written as extended XYZ:
```
4
Lattice="-0.712 -2.976 2.391 3.353 -1.662 -1.069 1.843 1.868 2.874" Properties=species:S:1:pos:R:3 pbc="T T T"
Re 0.000 0.000 0.000
Ir 0.565 -0.554 2.633
Re 2.598 0.103 0.902
Tc 1.320 -2.319 0.661
```

---

2.
VASP calculation (PBE-GGA) on Re2TcIr after structural relaxation.

Values from the calculation:
total moment	0.00	μB per cell
N(E_F)	1.485	states/eV/atom
crystal system	tetragonal

Cell and atoms, written as extended XYZ:
```
8
Lattice="5.625 0.000 0.000 0.000 5.625 0.000 2.813 2.813 5.572" Properties=species:S:1:pos:R:3 pbc="T T T"
Re 4.229 1.406 1.393
Ir 0.000 0.000 0.000
Tc 2.813 5.625 2.786
Ir 5.625 2.813 2.786
Re 1.396 4.219 1.393
Re 4.219 4.209 4.179
Tc 2.813 2.813 0.000
Re 7.032 7.042 4.179
```

---

3.
VASP calculation (PBE-GGA) on Re2TcIr after structural relaxation.

Values from the calculation:
total moment	0.00	μB per cell
N(E_F)	1.053	states/eV/atom
crystal system	monoclinic

Cell and atoms, written as extended XYZ:
```
4
Lattice="4.612 0.000 0.000 0.000 2.705 -0.036 0.000 0.254 4.839" Properties=species:S:1:pos:R:3 pbc="T T T"
Re 0.000 1.645 2.384
Tc 2.306 0.740 1.201
Ir 2.306 2.219 3.603
Re 0.000 2.539 -0.018
```

---

4.
VASP calculation (PBE-GGA) on Re2TcIr after structural relaxation.

Values from the calculation:
total moment	0.00	μB per cell
N(E_F)	0.494	states/eV/atom
crystal system	trigonal

Cell and atoms, written as extended XYZ:
```
4
Lattice="9.115 -0.005 -0.003 8.701 2.718 -0.003 8.701 1.325 2.373" Properties=species:S:1:pos:R:3 pbc="T T T"
Ir 19.887 3.028 1.775
Tc 6.629 1.009 0.592
Re 26.512 4.036 2.366
Re 13.263 2.019 1.184
```

---

Which of them is most stable, and which least? Most stable: 1; least stable: 2.

---

1.
VASP calculation (PBE-GGA) on Re2TcIr after structural relaxation.

Values from the calculation:
total moment	0.00	μB per cell
N(E_F)	1.058	states/eV/atom
crystal system	trigonal

Cell and atoms, written as extended XYZ:
```
4
Lattice="4.334 0.000 0.000 2.167 3.753 0.000 2.167 1.251 3.855" Properties=species:S:1:pos:R:3 pbc="T T T"
Re 2.167 1.251 3.474
Ir 6.500 3.753 3.287
Tc 4.334 2.502 2.012
Re 2.167 1.251 0.864
```

---

2.
VASP calculation (PBE-GGA) on Re2TcIr after structural relaxation.

Values from the calculation:
total moment	0.00	μB per cell
N(E_F)	0.815	states/eV/atom
crystal system	tetragonal

Cell and atoms, written as extended XYZ:
```
4
Lattice="4.761 -0.002 0.000 1.581 4.491 0.000 -3.171 -2.244 2.753" Properties=species:S:1:pos:R:3 pbc="T T T"
Tc 3.171 2.244 0.000
Ir 2.381 -0.001 1.376
Re 0.000 0.000 0.000
Re 0.790 2.246 1.376
```

---

3.
VASP calculation (PBE-GGA) on Re2TcIr after structural relaxation.

Values from the calculation:
total moment	0.00	μB per cell
N(E_F)	1.016	states/eV/atom
crystal system	tetragonal

Cell and atoms, written as extended XYZ:
```
4
Lattice="-0.247 -2.247 -1.553 2.604 0.277 -0.814 2.353 -4.420 6.025" Properties=species:S:1:pos:R:3 pbc="T T T"
Tc 1.767 -2.090 0.323
Re 1.172 -2.202 3.001
Re 0.005 -0.009 0.012
Ir 2.944 -4.301 3.335
```

---

Which of them is most stable, and which least? Most stable: 2; least stable: 1.

---

1.
VASP calculation (PBE-GGA) on Re2TcIr after structural relaxation.

Values from the calculation:
total moment	0.00	μB per cell
N(E_F)	0.970	states/eV/atom
crystal system	tetragonal

Cell and atoms, written as extended XYZ:
```
4
Lattice="2.743 -0.002 0.000 0.002 2.743 0.000 0.000 0.000 7.849" Properties=species:S:1:pos:R:3 pbc="T T T"
Re 1.372 1.371 1.995
Ir 1.372 1.371 5.911
Re 0.000 0.000 7.826
Tc 0.000 0.000 3.891
```

---

2.
VASP calculation (PBE-GGA) on Re2TcIr after structural relaxation.

Values from the calculation:
total moment	0.00	μB per cell
N(E_F)	0.948	states/eV/atom
crystal system	orthorhombic

Cell and atoms, written as extended XYZ:
```
4
Lattice="-1.615 4.343 1.178 1.503 -2.281 3.924 2.508 1.030 -0.361" Properties=species:S:1:pos:R:3 pbc="T T T"
Tc 0.446 2.687 0.409
Ir 2.005 -0.625 1.781
Re 0.000 0.000 0.000
Re -0.056 1.031 2.551
```

---

3.
VASP calculation (PBE-GGA) on Re2TcIr after structural relaxation.

Values from the calculation:
total moment	0.57	μB per cell
N(E_F)	1.532	states/eV/atom
crystal system	cubic

Cell and atoms, written as extended XYZ:
```
4
Lattice="-2.389 0.847 3.594 -3.211 -2.753 1.205 0.473 -2.492 3.592" Properties=species:S:1:pos:R:3 pbc="T T T"
Re -3.844 -3.299 6.294
Tc 0.000 0.000 0.000
Ir -2.563 -2.199 4.196
Re -1.281 -1.100 2.098
```

---

Which of them is most stable, and which least? Most stable: 2; least stable: 3.